Entry 1:
DFT (PBE-GGA) results for an optimized crystal structure of TmCoB.

Results
theoretical density	8.9	g/cm³
raw total energy	-5.9879	eV per atom

a b c (Å): 3.986 3.986 3.986
angles (deg): 60.00 60.00 60.00
Fractional coordinates of all 3 atoms:
Tm 0.000 0.000 0.000
Co 0.500 0.500 0.500
B 0.250 0.250 0.250

---

Entry 2:
DFT (PBE-GGA) results for an optimized crystal structure of UCoB.

Results
theoretical density	11.8	g/cm³
raw total energy	-8.2141	eV per atom

a b c (Å): 3.942 3.942 3.942
angles (deg): 60.00 60.00 60.00
Fractional coordinates of all 3 atoms:
U 0.000 0.000 0.000
Co 0.500 0.500 0.500
B 0.250 0.250 0.250

---

Entry 3:
DFT (PBE-GGA) results for an optimized crystal structure of U2Co21B6.

Results
theoretical density	9.9	g/cm³
raw total energy	-7.5791	eV per atom

a b c (Å): 7.498 7.498 7.498
angles (deg): 60.00 60.00 60.00
Fractional coordinates of all 29 atoms:
U 0.250 0.250 0.250
U 0.750 0.750 0.750
Co 0.000 0.000 0.000
Co 0.000 0.000 0.336
Co 0.000 0.000 0.664
Co 0.000 0.336 0.000
Co 0.000 0.336 0.664
Co 0.000 0.664 0.000
Co 0.000 0.664 0.336
Co 0.149 0.617 0.617
Co 0.336 0.000 0.000
Co 0.336 0.000 0.664
Co 0.336 0.664 0.000
Co 0.383 0.383 0.383
Co 0.383 0.383 0.851
Co 0.383 0.851 0.383
Co 0.617 0.149 0.617
Co 0.617 0.617 0.149
Co 0.617 0.617 0.617
Co 0.664 0.000 0.000
Co 0.664 0.000 0.336
Co 0.664 0.336 0.000
Co 0.851 0.383 0.383
B 0.275 0.275 0.725
B 0.275 0.725 0.275
B 0.275 0.725 0.725
B 0.725 0.275 0.275
B 0.725 0.275 0.725
B 0.725 0.725 0.275

---

Entry 4:
DFT (PBE-GGA) results for an optimized crystal structure of UCo4B.

Results
theoretical density	11.2	g/cm³
raw total energy	-8.0043	eV per atom

a b c (Å): 4.894 4.894 6.948
angles (deg): 90.00 90.00 120.00
Fractional coordinates of all 12 atoms:
U 0.000 0.000 0.000
U 0.000 0.000 0.500
Co 0.000 0.500 0.212
Co 0.000 0.500 0.788
Co 0.333 0.667 0.500
Co 0.500 0.000 0.212
Co 0.500 0.000 0.788
Co 0.500 0.500 0.212
Co 0.500 0.500 0.788
Co 0.667 0.333 0.500
B 0.333 0.667 0.000
B 0.667 0.333 0.000

---

Entry 5:
DFT (PBE-GGA) results for an optimized crystal structure of UCoB.

Results
theoretical density	13.5	g/cm³
raw total energy	-8.6615	eV per atom

a b c (Å): 6.505 3.590 6.491
angles (deg): 90.00 90.00 90.00
Fractional coordinates of all 12 atoms:
U 0.005 0.250 0.156
U 0.495 0.750 0.656
U 0.505 0.250 0.344
U 0.995 0.750 0.844
Co 0.131 0.250 0.564
Co 0.369 0.750 0.064
Co 0.631 0.250 0.936
Co 0.869 0.750 0.436
B 0.196 0.750 0.391
B 0.304 0.250 0.891
B 0.696 0.750 0.109
B 0.804 0.250 0.609

---

Entry 6:
DFT (PBE-GGA) results for an optimized crystal structure of UCoB.

Results
theoretical density	10.2	g/cm³
raw total energy	-7.3882	eV per atom

a b c (Å): 4.132 4.132 4.132
angles (deg): 60.00 60.00 60.00
Fractional coordinates of all 3 atoms:
U 0.000 0.000 0.000
Co 0.250 0.250 0.250
B 0.750 0.750 0.750

---

Entry 7:
DFT (PBE-GGA) results for an optimized crystal structure of UCoB.

Results
theoretical density	11.1	g/cm³
raw total energy	-8.0080	eV per atom

a b c (Å): 4.028 4.028 4.028
angles (deg): 60.00 60.00 60.00
Fractional coordinates of all 3 atoms:
U 0.000 0.000 0.000
Co 0.750 0.750 0.750
B 0.500 0.500 0.500

---

Entry 8:
DFT (PBE-GGA) results for an optimized crystal structure of CoB3W3.

Results
theoretical density	14.7	g/cm³
raw total energy	-9.8744	eV per atom

a b c (Å): 4.525 4.525 10.792
angles (deg): 90.00 90.00 138.78
Fractional coordinates of all 14 atoms:
Co 0.000 0.000 0.000
Co 0.000 0.000 0.500
B 0.292 0.708 0.750
B 0.415 0.585 0.603
B 0.415 0.585 0.897
B 0.585 0.415 0.103
B 0.585 0.415 0.397
B 0.708 0.292 0.250
W 0.001 0.999 0.250
W 0.288 0.712 0.107
W 0.288 0.712 0.393
W 0.712 0.288 0.607
W 0.712 0.288 0.893
W 0.999 0.001 0.750

---

Entry 9:
DFT (PBE-GGA) results for an optimized crystal structure of CoB3W3.

Results
theoretical density	14.7	g/cm³
raw total energy	-9.8743	eV per atom

a b c (Å): 4.522 4.522 10.785
angles (deg): 90.00 90.00 138.72
Fractional coordinates of all 14 atoms:
Co 0.000 0.000 0.000
Co 0.000 0.000 0.500
B 0.290 0.710 0.750
B 0.414 0.586 0.602
B 0.414 0.586 0.898
B 0.586 0.414 0.102
B 0.586 0.414 0.398
B 0.710 0.290 0.250
W 0.002 0.998 0.250
W 0.289 0.711 0.106
W 0.289 0.711 0.394
W 0.711 0.289 0.606
W 0.711 0.289 0.894
W 0.998 0.002 0.750

---

Entry 10:
DFT (PBE-GGA) results for an optimized crystal structure of CoBW.

Results
theoretical density	13.6	g/cm³
raw total energy	-9.3470	eV per atom

a b c (Å): 5.734 3.254 6.626
angles (deg): 90.00 90.00 90.00
Fractional coordinates of all 12 atoms:
Co 0.143 0.250 0.058
Co 0.357 0.750 0.558
Co 0.643 0.250 0.442
Co 0.857 0.750 0.942
B 0.230 0.750 0.874
B 0.270 0.250 0.374
B 0.730 0.750 0.626
B 0.770 0.250 0.126
W 0.028 0.250 0.675
W 0.472 0.750 0.175
W 0.528 0.250 0.825
W 0.972 0.750 0.325

---

Entry 11:
DFT (PBE-GGA) results for an optimized crystal structure of CoB4W.

Results
theoretical density	9.5	g/cm³
raw total energy	-7.8274	eV per atom

a b c (Å): 4.413 4.413 4.413
angles (deg): 140.47 108.51 84.91
Fractional coordinates of all 6 atoms:
Co 0.000 0.000 0.000
B 0.081 0.751 0.329
B 0.422 0.751 0.671
B 0.578 0.249 0.329
B 0.919 0.249 0.671
W 0.500 0.500 0.000

---

Entry 12:
DFT (PBE-GGA) results for an optimized crystal structure of CoB3W4.

Results
theoretical density	14.3	g/cm³
raw total energy	-9.9040	eV per atom

a b c (Å): 3.108 3.108 22.921
angles (deg): 90.00 90.00 120.00
Fractional coordinates of all 16 atoms:
Co 0.333 0.667 0.250
Co 0.667 0.333 0.750
B 0.000 0.000 0.000
B 0.000 0.000 0.500
B 0.333 0.667 0.616
B 0.333 0.667 0.884
B 0.667 0.333 0.116
B 0.667 0.333 0.384
W 0.000 0.000 0.168
W 0.000 0.000 0.332
W 0.000 0.000 0.668
W 0.000 0.000 0.832
W 0.333 0.667 0.059
W 0.333 0.667 0.441
W 0.667 0.333 0.559
W 0.667 0.333 0.941

---

Entry 13:
DFT (PBE-GGA) results for an optimized crystal structure of CoBW.

Results
theoretical density	12.8	g/cm³
raw total energy	-8.7764	eV per atom

a b c (Å): 6.319 6.319 2.856
angles (deg): 90.00 90.00 120.00
Fractional coordinates of all 9 atoms:
Co 0.000 0.608 0.000
Co 0.392 0.392 0.000
Co 0.608 0.000 0.000
B 0.000 0.000 0.000
B 0.333 0.667 0.500
B 0.667 0.333 0.500
W 0.000 0.271 0.500
W 0.271 0.000 0.500
W 0.729 0.729 0.500

---

Entry 14:
DFT (PBE-GGA) results for an optimized crystal structure of CoB4W.

Results
theoretical density	9.7	g/cm³
raw total energy	-7.8945	eV per atom

a b c (Å): 2.998 2.998 6.263
angles (deg): 90.00 90.00 120.00
Fractional coordinates of all 6 atoms:
Co 0.000 0.000 0.000
B 0.333 0.667 0.232
B 0.333 0.667 0.768
B 0.667 0.333 0.232
B 0.667 0.333 0.768
W 0.000 0.000 0.500

---

Entry 15:
DFT (PBE-GGA) results for an optimized crystal structure of CoBW.

Results
theoretical density	12.9	g/cm³
raw total energy	-8.6881	eV per atom

a b c (Å): 4.085 4.085 4.514
angles (deg): 90.00 90.00 120.00
Fractional coordinates of all 6 atoms:
Co 0.000 0.000 0.000
Co 0.000 0.000 0.500
B 0.333 0.667 0.250
B 0.667 0.333 0.750
W 0.333 0.667 0.750
W 0.667 0.333 0.250

---

Entry 16:
DFT (PBE-GGA) results for an optimized crystal structure of CoBW.

Results
theoretical density	12.8	g/cm³
raw total energy	-8.9147	eV per atom

a b c (Å): 3.674 3.674 5.606
angles (deg): 90.00 90.00 120.00
Fractional coordinates of all 6 atoms:
Co 0.333 0.667 0.000
Co 0.667 0.333 0.500
B 0.333 0.667 0.411
B 0.667 0.333 0.911
W 0.000 0.000 0.189
W 0.000 0.000 0.689

---

Entry 17:
DFT (PBE-GGA) results for an optimized crystal structure of Co2B2W3.

Results
theoretical density	13.4	g/cm³
raw total energy	-9.1844	eV per atom

a b c (Å): 7.453 7.453 7.453
angles (deg): 28.87 28.87 28.87
Fractional coordinates of all 7 atoms:
Co 0.000 0.000 0.000
Co 0.392 0.392 0.392
B 0.162 0.162 0.162
B 0.648 0.648 0.648
W 0.272 0.272 0.272
W 0.525 0.525 0.525
W 0.769 0.769 0.769

---

Entry 18:
DFT (PBE-GGA) results for an optimized crystal structure of CoBW.

Results
theoretical density	13.0	g/cm³
raw total energy	-8.8484	eV per atom

a b c (Å): 3.654 3.654 5.592
angles (deg): 90.00 90.00 120.00
Fractional coordinates of all 6 atoms:
Co 0.333 0.667 0.250
Co 0.667 0.333 0.750
B 0.333 0.667 0.750
B 0.667 0.333 0.250
W 0.000 0.000 0.000
W 0.000 0.000 0.500

---

Entry 19:
DFT (PBE-GGA) results for an optimized crystal structure of Co2BW.

Results
theoretical density	12.0	g/cm³
raw total energy	-8.1728	eV per atom

a b c (Å): 3.935 3.935 3.935
angles (deg): 60.00 60.00 60.00
Fractional coordinates of all 4 atoms:
Co 0.000 0.000 0.000
Co 0.250 0.250 0.250
B 0.500 0.500 0.500
W 0.750 0.750 0.750

---

Entry 20:
DFT (PBE-GGA) results for an optimized crystal structure of CoBW.

Results
theoretical density	13.6	g/cm³
raw total energy	-9.2491	eV per atom

a b c (Å): 5.765 5.765 3.237
angles (deg): 90.00 90.00 120.00
Fractional coordinates of all 9 atoms:
Co 0.000 0.247 0.000
Co 0.247 0.000 0.000
Co 0.753 0.753 0.000
B 0.000 0.000 0.500
B 0.333 0.667 0.000
B 0.667 0.333 0.000
W 0.000 0.589 0.500
W 0.411 0.411 0.500
W 0.589 0.000 0.500

---

Entry 21:
DFT (PBE-GGA) results for an optimized crystal structure of CoBW.

Results
theoretical density	12.8	g/cm³
raw total energy	-8.7270	eV per atom

a b c (Å): 5.832 5.832 3.360
angles (deg): 90.00 90.00 120.00
Fractional coordinates of all 9 atoms:
Co 0.000 0.000 0.000
Co 0.333 0.667 0.500
Co 0.667 0.333 0.500
B 0.000 0.281 0.500
B 0.281 0.000 0.500
B 0.719 0.719 0.500
W 0.000 0.601 0.000
W 0.399 0.399 0.000
W 0.601 0.000 0.000

---

Entry 22:
DFT (PBE-GGA) results for an optimized crystal structure of CoB2W4.

Results
theoretical density	14.2	g/cm³
raw total energy	-9.9629	eV per atom

a b c (Å): 6.506 6.506 2.882
angles (deg): 102.74 102.74 53.57
Fractional coordinates of all 7 atoms:
Co 0.000 0.000 0.000
B 0.278 0.278 0.775
B 0.722 0.722 0.225
W 0.123 0.605 0.361
W 0.395 0.877 0.639
W 0.605 0.123 0.361
W 0.877 0.395 0.639

---

Entry 23:
DFT (PBE-GGA) results for an optimized crystal structure of YCoBW.

Results
theoretical density	9.8	g/cm³
raw total energy	-7.2119	eV per atom

a b c (Å): 4.339 4.339 4.339
angles (deg): 60.00 60.00 60.00
Fractional coordinates of all 4 atoms:
Y 0.000 0.000 0.000
Co 0.750 0.750 0.750
B 0.500 0.500 0.500
W 0.250 0.250 0.250

---

Entry 24:
DFT (PBE-GGA) results for an optimized crystal structure of YCoBW.

Results
theoretical density	9.4	g/cm³
raw total energy	-7.2039	eV per atom

a b c (Å): 4.403 4.403 4.403
angles (deg): 60.00 60.00 60.00
Fractional coordinates of all 4 atoms:
Y 0.000 0.000 0.000
Co 0.500 0.500 0.500
B 0.250 0.250 0.250
W 0.750 0.750 0.750